Entry 1:
# Zr6Tl2Cd (GGA-PBE, optimized geometry)
# - volume (Å³/f.u.) = 209
# - formation energy from the elements (eV/atom) = 0.03
data_Zr6Tl2Cd
_space_group_name_H-M_alt 'P 1'
_space_group_IT_number 1
_cell_length_a 3.179
_cell_length_b 15.215
_cell_length_c 12.726
_cell_angle_alpha 22.72
_cell_angle_beta 83.36
_cell_angle_gamma 73.37
loop_
_space_group_symop_operation_xyz
'x,y,z'
loop_
_atom_site_label
_atom_site_type_symbol
_atom_site_fract_x
_atom_site_fract_y
_atom_site_fract_z
_atom_site_occupancy
Zr1 Zr 0.042 0.630 0.158 1
Zr2 Zr 0.781 0.923 0.200 1
Zr3 Zr 0.791 0.185 0.478 1
Tl1 Tl 0.665 0.728 0.839 1
Tl2 Tl 0.335 0.272 0.161 1
Zr4 Zr 0.209 0.815 0.522 1
Zr5 Zr 0.958 0.370 0.842 1
Cd1 Cd 0.500 0.500 0.500 1
Zr6 Zr 0.219 0.077 0.800 1



Entry 2:
# Ba2HfMnS6 (GGA-PBE, optimized geometry)
# - volume (Å³/f.u.) = 230
# - formation energy (no corrections) (meV per atom) = -1417.8
data_Ba2HfMnS6
_space_group_name_H-M_alt 'P 1'
_space_group_IT_number 1
_cell_length_a 6.988
_cell_length_b 6.821
_cell_length_c 9.669
_cell_angle_alpha 90.00
_cell_angle_beta 90.25
_cell_angle_gamma 90.00
loop_
_space_group_symop_operation_xyz
'x,y,z'
loop_
_atom_site_label
_atom_site_type_symbol
_atom_site_fract_x
_atom_site_fract_y
_atom_site_fract_z
_atom_site_occupancy
S1 S 0.743 0.757 0.528 1
Ba1 Ba 0.499 0.499 0.252 1
Hf1 Hf 0.500 0.000 0.000 1
S2 S 0.448 0.000 0.743 1
Ba2 Ba 0.001 0.999 0.248 1
Mn1 Mn 0.500 0.000 0.500 1
S3 S 0.758 0.744 0.972 1
S4 S 0.257 0.243 0.472 1
S5 S 0.757 0.257 0.972 1
Mn2 Mn 0.000 0.500 0.000 1
S6 S 0.552 0.000 0.257 1
S7 S 0.242 0.256 0.028 1
S8 S 0.258 0.756 0.472 1
Ba3 Ba 0.999 0.001 0.752 1
S9 S 0.742 0.244 0.528 1
S10 S 0.948 0.500 0.243 1
Ba4 Ba 0.501 0.501 0.748 1
S11 S 0.243 0.743 0.028 1
S12 S 0.052 0.500 0.757 1
Hf2 Hf 0.000 0.500 0.500 1



Entry 3:
# Sc2VP (GGA-PBE, optimized geometry)
# - volume (Å³/f.u.) = 76
# - formation energy from the elements (eV/atom) = -0.03
data_Sc2VP
_space_group_name_H-M_alt 'P 1'
_space_group_IT_number 1
_cell_length_a 7.685
_cell_length_b 7.685
_cell_length_c 6.017
_cell_angle_alpha 50.31
_cell_angle_beta 50.31
_cell_angle_gamma 90.00
loop_
_space_group_symop_operation_xyz
'x,y,z'
loop_
_atom_site_label
_atom_site_type_symbol
_atom_site_fract_x
_atom_site_fract_y
_atom_site_fract_z
_atom_site_occupancy
Sc1 Sc 0.875 0.822 0.750 1
P1 P 0.500 0.500 0.000 1
V1 V 0.000 0.000 0.000 1
P2 P 0.250 0.750 0.500 1
Sc2 Sc 0.375 0.428 0.750 1
V2 V 0.750 0.250 0.500 1
Sc3 Sc 0.572 0.125 0.250 1
Sc4 Sc 0.178 0.625 0.250 1



Entry 4:
# Sc2Si2Ge (GGA-PBE, optimized geometry)
# - volume (Å³/f.u.) = 94
# - formation energy (no corrections) (meV per atom) = -496.2
data_Sc2Si2Ge
_space_group_name_H-M_alt 'P 1'
_space_group_IT_number 1
_cell_length_a 3.466
_cell_length_b 3.466
_cell_length_c 8.199
_cell_angle_alpha 77.80
_cell_angle_beta 77.80
_cell_angle_gamma 90.00
loop_
_space_group_symop_operation_xyz
'x,y,z'
loop_
_atom_site_label
_atom_site_type_symbol
_atom_site_fract_x
_atom_site_fract_y
_atom_site_fract_z
_atom_site_occupancy
Sc1 Sc 0.609 0.609 0.783 1
Si1 Si 0.250 0.750 0.500 1
Ge1 Ge 0.000 0.000 0.000 1
Sc2 Sc 0.391 0.391 0.217 1
Si2 Si 0.750 0.250 0.500 1



Entry 5:
# AgSb2TePt (GGA-PBE, optimized geometry)
# - volume (Å³/f.u.) = 146
# - formation energy (no corrections) (meV per atom) = 1008.3
data_AgSb2TePt
_space_group_name_H-M_alt 'P 1'
_space_group_IT_number 1
_cell_length_a 5.255
_cell_length_b 5.255
_cell_length_c 5.289
_cell_angle_alpha 90.00
_cell_angle_beta 90.00
_cell_angle_gamma 90.00
loop_
_space_group_symop_operation_xyz
'x,y,z'
loop_
_atom_site_label
_atom_site_type_symbol
_atom_site_fract_x
_atom_site_fract_y
_atom_site_fract_z
_atom_site_occupancy
Te1 Te 0.000 0.000 0.500 1
Pt1 Pt 0.500 0.500 0.500 1
Ag1 Ag 0.000 0.000 0.000 1
Sb1 Sb 0.500 0.000 0.000 1
Sb2 Sb 0.000 0.500 0.000 1



Entry 6:
# Li2ErPd8 (GGA-PBE, optimized geometry)
# - volume (Å³/f.u.) = 173
# - formation energy from the elements (eV/atom) = -0.47
data_Li2ErPd8
_space_group_name_H-M_alt 'P 1'
_space_group_IT_number 1
_cell_length_a 4.026
_cell_length_b 6.341
_cell_length_c 7.371
_cell_angle_alpha 106.45
_cell_angle_beta 105.85
_cell_angle_gamma 90.00
loop_
_space_group_symop_operation_xyz
'x,y,z'
loop_
_atom_site_label
_atom_site_type_symbol
_atom_site_fract_x
_atom_site_fract_y
_atom_site_fract_z
_atom_site_occupancy
Pd1 Pd 0.047 0.724 0.095 1
Pd2 Pd 0.143 0.201 0.287 1
Pd3 Pd 0.857 0.799 0.713 1
Pd4 Pd 0.953 0.276 0.905 1
Pd5 Pd 0.596 0.468 0.192 1
Pd6 Pd 0.404 0.532 0.808 1
Pd7 Pd 0.684 0.917 0.369 1
Li1 Li 0.228 0.647 0.455 1
Li2 Li 0.772 0.353 0.545 1
Pd8 Pd 0.316 0.083 0.631 1
Er1 Er 0.500 0.000 0.000 1



Entry 7:
# CuAsCl2 (GGA-PBE, optimized geometry)
# - volume (Å³/f.u.) = 75
# - formation energy (no corrections) (meV per atom) = 257.7
data_CuAsCl2
_space_group_name_H-M_alt 'P 1'
_space_group_IT_number 1
_cell_length_a 3.070
_cell_length_b 3.070
_cell_length_c 7.909
_cell_angle_alpha 90.00
_cell_angle_beta 90.00
_cell_angle_gamma 90.00
loop_
_space_group_symop_operation_xyz
'x,y,z'
loop_
_atom_site_label
_atom_site_type_symbol
_atom_site_fract_x
_atom_site_fract_y
_atom_site_fract_z
_atom_site_occupancy
Cu1 Cu 0.500 0.500 0.250 1
Cl1 Cl 0.000 0.000 0.050 1
Cl2 Cl 0.000 0.000 0.450 1
As1 As 0.500 0.500 0.750 1



Entry 8:
# Zr2Ag (GGA-PBE, optimized geometry)
# - volume (Å³/f.u.) = 73
# - formation energy from the elements (eV/atom) = 0.50
data_Zr2Ag
_space_group_name_H-M_alt 'P 1'
_space_group_IT_number 1
_cell_length_a 4.884
_cell_length_b 4.884
_cell_length_c 3.070
_cell_angle_alpha 90.00
_cell_angle_beta 90.00
_cell_angle_gamma 90.00
loop_
_space_group_symop_operation_xyz
'x,y,z'
loop_
_atom_site_label
_atom_site_type_symbol
_atom_site_fract_x
_atom_site_fract_y
_atom_site_fract_z
_atom_site_occupancy
Zr1 Zr 0.500 0.000 0.500 1
Zr2 Zr 0.000 0.500 0.500 1
Ag1 Ag 0.000 0.000 0.000 1



Entry 9:
# TcPb2Br (GGA-PBE, optimized geometry)
# - volume (Å³/f.u.) = 104
# - formation energy (no corrections) (meV per atom) = 474.4
data_TcPb2Br
_space_group_name_H-M_alt 'P 1'
_space_group_IT_number 1
_cell_length_a 3.331
_cell_length_b 3.331
_cell_length_c 9.821
_cell_angle_alpha 90.00
_cell_angle_beta 90.00
_cell_angle_gamma 107.67
loop_
_space_group_symop_operation_xyz
'x,y,z'
loop_
_atom_site_label
_atom_site_type_symbol
_atom_site_fract_x
_atom_site_fract_y
_atom_site_fract_z
_atom_site_occupancy
Pb1 Pb 0.000 0.000 0.999 1
Br1 Br 0.500 0.500 0.697 1
Pb2 Pb 0.500 0.500 0.296 1
Tc1 Tc 0.000 0.000 0.508 1



Entry 10:
# ReMo (GGA-PBE, optimized geometry)
# - volume (Å³/f.u.) = 32
# - formation energy from the elements (eV/atom) = 0.27
data_ReMo
_space_group_name_H-M_alt 'P 1'
_space_group_IT_number 1
_cell_length_a 5.026
_cell_length_b 5.026
_cell_length_c 5.026
_cell_angle_alpha 90.00
_cell_angle_beta 90.00
_cell_angle_gamma 90.00
loop_
_space_group_symop_operation_xyz
'x,y,z'
loop_
_atom_site_label
_atom_site_type_symbol
_atom_site_fract_x
_atom_site_fract_y
_atom_site_fract_z
_atom_site_occupancy
Re1 Re 0.103 0.103 0.103 1
Re2 Re 0.397 0.897 0.603 1
Mo1 Mo 0.101 0.601 0.899 1
Re3 Re 0.603 0.397 0.897 1
Re4 Re 0.897 0.603 0.397 1
Mo2 Mo 0.899 0.101 0.601 1
Mo3 Mo 0.399 0.399 0.399 1
Mo4 Mo 0.601 0.899 0.101 1



Entry 11:
# Tb2ThZrAs4 (GGA-PBE, optimized geometry)
# - volume (Å³/f.u.) = 195
# - formation energy from the elements (eV/atom) = -1.37
data_Tb2ThZrAs4
_space_group_name_H-M_alt 'P 1'
_space_group_IT_number 1
_cell_length_a 4.104
_cell_length_b 7.097
_cell_length_c 7.115
_cell_angle_alpha 109.42
_cell_angle_beta 90.00
_cell_angle_gamma 90.00
loop_
_space_group_symop_operation_xyz
'x,y,z'
loop_
_atom_site_label
_atom_site_type_symbol
_atom_site_fract_x
_atom_site_fract_y
_atom_site_fract_z
_atom_site_occupancy
As1 As 0.000 0.761 0.250 1
As2 As 0.000 0.239 0.750 1
Th1 Th 0.500 0.500 0.000 1
Tb1 Tb 0.500 0.000 0.500 1
Tb2 Tb 0.000 0.500 0.500 1
Zr1 Zr 0.000 0.000 0.000 1
As3 As 0.500 0.763 0.758 1
As4 As 0.500 0.237 0.242 1



Entry 12:
# Li2CaHg (GGA-PBE, optimized geometry)
# - volume (Å³/f.u.) = 91
# - formation energy from the elements (eV/atom) = -0.24
data_Li2CaHg
_space_group_name_H-M_alt 'P 1'
_space_group_IT_number 1
_cell_length_a 5.536
_cell_length_b 5.536
_cell_length_c 5.536
_cell_angle_alpha 49.80
_cell_angle_beta 49.80
_cell_angle_gamma 49.80
loop_
_space_group_symop_operation_xyz
'x,y,z'
loop_
_atom_site_label
_atom_site_type_symbol
_atom_site_fract_x
_atom_site_fract_y
_atom_site_fract_z
_atom_site_occupancy
Li1 Li 0.531 0.531 0.531 1
Hg1 Hg 0.250 0.250 0.250 1
Ca1 Ca 0.750 0.750 0.750 1
Li2 Li 0.969 0.969 0.969 1



Entry 13:
# Rb3Te (GGA-PBE, optimized geometry)
# - volume (Å³/f.u.) = 263
# - formation energy (no corrections) (meV per atom) = -639.4
data_Rb3Te
_space_group_name_H-M_alt 'P 1'
_space_group_IT_number 1
_cell_length_a 4.718
_cell_length_b 5.883
_cell_length_c 10.190
_cell_angle_alpha 106.78
_cell_angle_beta 103.39
_cell_angle_gamma 90.00
loop_
_space_group_symop_operation_xyz
'x,y,z'
loop_
_atom_site_label
_atom_site_type_symbol
_atom_site_fract_x
_atom_site_fract_y
_atom_site_fract_z
_atom_site_occupancy
Rb1 Rb 0.500 0.417 0.000 1
Rb2 Rb 0.648 0.064 0.295 1
Te1 Te 0.000 0.917 0.000 1
Rb3 Rb 0.352 0.769 0.705 1



Entry 14:
# NaLaS2 (GGA-PBE, optimized geometry)
# - volume (Å³/f.u.) = 103
# - formation energy (no corrections) (meV per atom) = -1857.4
data_NaLaS2
_space_group_name_H-M_alt 'P 1'
_space_group_IT_number 1
_cell_length_a 4.233
_cell_length_b 4.233
_cell_length_c 7.079
_cell_angle_alpha 72.60
_cell_angle_beta 72.60
_cell_angle_gamma 60.00
loop_
_space_group_symop_operation_xyz
'x,y,z'
loop_
_atom_site_label
_atom_site_type_symbol
_atom_site_fract_x
_atom_site_fract_y
_atom_site_fract_z
_atom_site_occupancy
La1 La 0.000 0.000 0.000 1
S1 S 0.745 0.745 0.766 1
Na1 Na 0.500 0.500 0.500 1
S2 S 0.255 0.255 0.234 1



Entry 15:
# Zn7P10 (GGA-PBE, optimized geometry)
# - volume (Å³/f.u.) = 313
# - formation energy from the elements (eV/atom) = -0.16
data_Zn7P10
_space_group_name_H-M_alt 'P 1'
_space_group_IT_number 1
_cell_length_a 16.955
_cell_length_b 13.271
_cell_length_c 11.010
_cell_angle_alpha 88.07
_cell_angle_beta 51.47
_cell_angle_gamma 40.47
loop_
_space_group_symop_operation_xyz
'x,y,z'
loop_
_atom_site_label
_atom_site_type_symbol
_atom_site_fract_x
_atom_site_fract_y
_atom_site_fract_z
_atom_site_occupancy
Zn1 Zn 0.997 0.003 0.003 1
Zn2 Zn 0.571 0.273 0.189 1
P1 P 0.043 0.461 0.118 1
P2 P 0.593 0.788 0.995 1
Zn3 Zn 0.515 0.581 0.985 1
P3 P 0.616 0.262 0.467 1
P4 P 0.263 0.976 0.335 1
P5 P 0.240 0.535 0.331 1
P6 P 0.919 0.357 0.010 1
P7 P 0.625 0.995 0.788 1
P8 P 0.915 0.825 0.987 1
P9 P 0.893 0.331 0.535 1
Zn4 Zn 0.919 0.985 0.581 1
Zn5 Zn 0.265 0.331 0.735 1
Zn6 Zn 0.061 0.284 0.679 1
P10 P 0.789 0.207 0.872 1
P11 P 0.988 0.634 0.595 1
P12 P 0.655 0.467 0.262 1
P13 P 0.255 0.625 0.657 1
Zn7 Zn 0.505 0.416 0.770 1
Zn8 Zn 0.247 0.253 0.253 1
P14 P 0.783 0.595 0.634 1
P15 P 0.378 0.118 0.461 1
Zn9 Zn 0.966 0.189 0.273 1
Zn10 Zn 0.309 0.770 0.416 1
P16 P 0.462 0.657 0.625 1
Zn11 Zn 0.669 0.735 0.331 1
Zn12 Zn 0.977 0.679 0.284 1
P17 P 0.132 0.872 0.207 1
P18 P 0.715 0.010 0.357 1
Zn13 Zn 0.480 0.941 0.745 1
P19 P 0.425 0.335 0.976 1
Zn14 Zn 0.834 0.745 0.941 1
P20 P 0.274 0.987 0.825 1



Entry 16:
# InRh2Pb (GGA-PBE, optimized geometry)
# - volume (Å³/f.u.) = 76
# - formation energy from the elements (eV/atom) = -0.04
data_InRh2Pb
_space_group_name_H-M_alt 'P 1'
_space_group_IT_number 1
_cell_length_a 4.469
_cell_length_b 4.469
_cell_length_c 5.630
_cell_angle_alpha 76.82
_cell_angle_beta 76.82
_cell_angle_gamma 44.56
loop_
_space_group_symop_operation_xyz
'x,y,z'
loop_
_atom_site_label
_atom_site_type_symbol
_atom_site_fract_x
_atom_site_fract_y
_atom_site_fract_z
_atom_site_occupancy
In1 In 0.000 0.000 0.500 1
Rh1 Rh 0.252 0.252 0.743 1
Rh2 Rh 0.748 0.748 0.257 1
Pb1 Pb 0.500 0.500 0.000 1



Entry 17:
# CuPd2Pt (GGA-PBE, optimized geometry)
# - volume (Å³/f.u.) = 59
# - formation energy from the elements (eV/atom) = -0.10
data_CuPd2Pt
_space_group_name_H-M_alt 'P 1'
_space_group_IT_number 1
_cell_length_a 2.757
_cell_length_b 4.777
_cell_length_c 4.777
_cell_angle_alpha 110.44
_cell_angle_beta 90.00
_cell_angle_gamma 90.00
loop_
_space_group_symop_operation_xyz
'x,y,z'
loop_
_atom_site_label
_atom_site_type_symbol
_atom_site_fract_x
_atom_site_fract_y
_atom_site_fract_z
_atom_site_occupancy
Pd1 Pd 0.000 0.500 0.000 1
Pt1 Pt 0.500 0.000 0.000 1
Pd2 Pd 0.000 0.000 0.500 1
Cu1 Cu 0.500 0.500 0.500 1



Entry 18:
# Y3ThHg2 (GGA-PBE, optimized geometry)
# - volume (Å³/f.u.) = 167
# - formation energy from the elements (eV/atom) = -0.34
data_Y3ThHg2
_space_group_name_H-M_alt 'P 1'
_space_group_IT_number 1
_cell_length_a 3.663
_cell_length_b 3.663
_cell_length_c 12.410
_cell_angle_alpha 90.00
_cell_angle_beta 90.00
_cell_angle_gamma 90.00
loop_
_space_group_symop_operation_xyz
'x,y,z'
loop_
_atom_site_label
_atom_site_type_symbol
_atom_site_fract_x
_atom_site_fract_y
_atom_site_fract_z
_atom_site_occupancy
Y1 Y 0.000 0.000 0.692 1
Th1 Th 0.500 0.500 0.500 1
Y2 Y 0.000 0.000 0.308 1
Hg1 Hg 0.500 0.500 0.153 1
Y3 Y 0.000 0.000 0.000 1
Hg2 Hg 0.500 0.500 0.847 1



Entry 19:
# BeCrP (GGA-PBE, optimized geometry)
# - volume (Å³/f.u.) = 33
# - formation energy from the elements (eV/atom) = -0.22
data_BeCrP
_space_group_name_H-M_alt 'P 1'
_space_group_IT_number 1
_cell_length_a 5.497
_cell_length_b 3.003
_cell_length_c 7.879
_cell_angle_alpha 90.00
_cell_angle_beta 91.39
_cell_angle_gamma 90.00
loop_
_space_group_symop_operation_xyz
'x,y,z'
loop_
_atom_site_label
_atom_site_type_symbol
_atom_site_fract_x
_atom_site_fract_y
_atom_site_fract_z
_atom_site_occupancy
Be1 Be 0.440 0.500 0.729 1
P1 P 0.279 0.000 0.506 1
P2 P 0.739 0.500 0.166 1
Cr1 Cr 0.115 0.000 0.805 1
Be2 Be 0.004 0.500 0.586 1
Cr2 Cr 0.115 0.500 0.305 1
P3 P 0.279 0.500 0.006 1
Be3 Be 0.004 0.000 0.086 1
Cr3 Cr 0.612 0.500 0.446 1
Cr4 Cr 0.612 0.000 0.946 1
Be4 Be 0.440 0.000 0.229 1
P4 P 0.739 0.000 0.666 1



Entry 20:
# K2MgCdI6 (GGA-PBE, optimized geometry)
# - volume (Å³/f.u.) = 401
# - formation energy (no corrections) (meV per atom) = -1017.3
data_K2MgCdI6
_space_group_name_H-M_alt 'P 1'
_space_group_IT_number 1
_cell_length_a 8.299
_cell_length_b 8.298
_cell_length_c 8.264
_cell_angle_alpha 59.86
_cell_angle_beta 59.85
_cell_angle_gamma 59.98
loop_
_space_group_symop_operation_xyz
'x,y,z'
loop_
_atom_site_label
_atom_site_type_symbol
_atom_site_fract_x
_atom_site_fract_y
_atom_site_fract_z
_atom_site_occupancy
I1 I 0.073 0.492 0.778 1
K1 K 0.045 0.045 0.865 1
Mg1 Mg 0.818 0.818 0.545 1
I2 I 0.151 0.984 0.283 1
Cd1 Cd 0.317 0.317 0.048 1
K2 K 0.543 0.543 0.372 1
I3 I 0.984 0.582 0.283 1
I4 I 0.581 0.151 0.283 1
I5 I 0.657 0.073 0.779 1
I6 I 0.492 0.657 0.779 1



Results for M_tot: 0.0 6.3 2.2 0.0 0.0 0.0 0.0 0.0 2.6 0.0 0.0 0.0 0.0 0.0 0.0 0.0 0.0 0.0 1.9 0.0 (in μB/cell, following the order of the records).